Entry 1:
A relaxed structure of BeAlGa2Re, computed with PBE-GGA.

Computed properties:
The value obtained for the spin magnetization is 0.0 μB/f.u. The calculation puts the total DFT energy (no corrections) at -4.541 eV per atom.

Cell: 4.841 4.841 4.384 Å, 90.00 90.00 90.00°
Space group P4/mmm (No. 123)
Unique sites:
Be 0.000 0.000 0.000 x1
Al 0.500 0.500 0.000 x1
Ga 0.000 0.500 0.500 x2
Re 0.000 0.000 0.500 x1

Entry 2:
A relaxed structure of CaMgIn2, computed with PBE-GGA.

Computed properties:
The value obtained for the spin magnetization is 0.0 μB/f.u. The calculation puts the total DFT energy (no corrections) at -2.582 eV per atom.

Cell: 7.731 4.827 11.328 Å, 90.00 90.00 90.00°
Space group Pnma (No. 62)
Unique sites:
Ca 0.214 0.250 0.176 x4
Mg 0.048 0.750 0.407 x4
In 0.071 0.250 0.839 x4
In 0.210 0.750 0.968 x4